Entry 1:
DFT (PBE) results for MnCd4Cl after structural relaxation.

abc: 5.8723 5.8723 5.8723
angles: 60.00 60.00 60.00
Closest atoms and distances in Å follow each position.
Fractional positions:
1 Mn 0.0000 0.0000 0.0000  12 Cd 3.44, 4 Cl 3.60
2 Cd 0.3743 0.8771 0.3743  6 Cd 2.92-2.95
3 Cd 0.8771 0.3743 0.3743  6 Cd 2.92-2.95
4 Cd 0.3743 0.3743 0.8771  6 Cd 2.92-2.95
5 Cd 0.3743 0.3743 0.3743  6 Cd 2.92-2.95
6 Cl 0.7500 0.7500 0.7500  12 Cd 3.44, 4 Mn 3.60

=====

Entry 2:
DFT (PBE) results for MnCd2Cl after structural relaxation.

abc: 3.2254 3.2254 7.8986
angles: 90.00 90.00 89.94
Closest atoms and distances in Å follow each position.
Fractional positions:
1 Cd 0.0000 0.0000 0.9792  4 Mn 2.91, 4 Cl 3.13, 4 Cd 3.23
2 Cd 0.0000 0.0000 0.5208  4 Mn 2.91, 4 Cl 3.13, 4 Cd 3.23
3 Cl 0.5000 0.5000 0.2500  8 Cd 3.13, 4 Cl 3.23
4 Mn 0.5000 0.5000 0.7500  8 Cd 2.91, 4 Mn 3.23

=====

no.,DOS at the Fermi energy (states/eV/cell),E_form (uncorrected) (kJ/mol of atoms)
1,2.73,22.9
2,2.97,-0.9